[1]
The following is a DFT calculation (PBE) of a geometry-optimized Sr3Sb2Rh structure.

a = 12.939 Å, b = 4.563 Å, c = 13.044 Å
α = 90.00°, β = 90.00°, γ = 90.00°
Fractional positions:
Sr 0.058 0.250 0.124
Sr 0.114 0.750 0.547
Sr 0.221 0.250 0.795
Sr 0.279 0.750 0.295
Sr 0.386 0.250 0.047
Sr 0.442 0.750 0.624
Sr 0.558 0.250 0.376
Sr 0.614 0.750 0.953
Sr 0.721 0.250 0.705
Sr 0.779 0.750 0.205
Sr 0.886 0.250 0.453
Sr 0.942 0.750 0.876
Sb 0.020 0.750 0.309
Sb 0.200 0.750 0.986
Sb 0.300 0.250 0.486
Sb 0.480 0.250 0.809
Sb 0.520 0.750 0.191
Sb 0.700 0.750 0.514
Sb 0.800 0.250 0.014
Sb 0.980 0.250 0.691
Rh 0.127 0.250 0.364
Rh 0.373 0.750 0.864
Rh 0.627 0.250 0.136
Rh 0.873 0.750 0.636

Results
Energy (eV/atom): -4.31
ΔE_f (raw) (eV/atom): -0.8699
Calculated volume (Å³ per cell): 770.1

[2]
The following is a DFT calculation (PBE) of a geometry-optimized SrSb2Rh3 structure.

a = 8.539 Å, b = 8.539 Å, c = 8.038 Å
α = 114.43°, β = 114.43°, γ = 29.31°
Fractional positions:
Sr 0.151 0.151 0.073
Sr 0.849 0.849 0.927
Sb 0.188 0.188 0.676
Sb 0.480 0.480 0.803
Sb 0.520 0.520 0.197
Sb 0.812 0.812 0.324
Rh 0.040 0.040 0.379
Rh 0.314 0.314 0.560
Rh 0.408 0.408 0.342
Rh 0.592 0.592 0.658
Rh 0.686 0.686 0.440
Rh 0.960 0.960 0.621

Results
Energy (eV/atom): -5.87
Relative energy among the computed polymorphs (eV per formula unit): 0.50
ΔE_f (raw) (eV/atom): -0.5365
Calculated volume (Å³ per cell): 259.4

[3]
The following is a DFT calculation (PBE) of a geometry-optimized Sr3Sb3Rh2 structure.

a = 6.319 Å, b = 6.319 Å, c = 15.800 Å
α = 90.00°, β = 90.00°, γ = 136.64°
Fractional positions:
Sr 0.076 0.924 0.609
Sr 0.076 0.924 0.891
Sr 0.362 0.638 0.750
Sr 0.638 0.362 0.250
Sr 0.924 0.076 0.109
Sr 0.924 0.076 0.391
Sb 0.334 0.666 0.250
Sb 0.357 0.643 0.536
Sb 0.357 0.643 0.964
Sb 0.643 0.357 0.036
Sb 0.643 0.357 0.464
Sb 0.666 0.334 0.750
Rh 0.211 0.789 0.100
Rh 0.211 0.789 0.400
Rh 0.789 0.211 0.600
Rh 0.789 0.211 0.900

Results
Energy (eV/atom): -4.83
ΔE_f (raw) (eV/atom): -0.8142
Calculated volume (Å³ per cell): 433.1

[4]
The following is a DFT calculation (PBE) of a geometry-optimized SrSb6Rh12 structure.

a = 7.499 Å, b = 7.499 Å, c = 7.499 Å
α = 106.15°, β = 106.15°, γ = 106.15°
Fractional positions:
Sr 0.000 0.000 0.000
Sb 0.263 0.263 0.702
Sb 0.263 0.702 0.263
Sb 0.298 0.737 0.737
Sb 0.702 0.263 0.263
Sb 0.737 0.298 0.737
Sb 0.737 0.737 0.298
Rh 0.123 0.500 0.877
Rh 0.123 0.877 0.500
Rh 0.176 0.413 0.413
Rh 0.413 0.176 0.413
Rh 0.413 0.413 0.176
Rh 0.500 0.123 0.877
Rh 0.500 0.877 0.123
Rh 0.587 0.587 0.824
Rh 0.587 0.824 0.587
Rh 0.824 0.587 0.587
Rh 0.877 0.123 0.500
Rh 0.877 0.500 0.123

Results
Energy (eV/atom): -6.33
ΔE_f (raw) (eV/atom): -0.2970
Calculated volume (Å³ per cell): 359.1

[5]
The following is a DFT calculation (PBE) of a geometry-optimized Sr3Sb3Rh structure.

a = 6.474 Å, b = 6.474 Å, c = 16.467 Å
α = 107.00°, β = 107.00°, γ = 41.52°
Fractional positions:
Sr 0.024 0.024 0.239
Sr 0.181 0.181 0.083
Sr 0.385 0.385 0.392
Sr 0.615 0.615 0.608
Sr 0.819 0.819 0.917
Sr 0.976 0.976 0.761
Sb 0.133 0.133 0.458
Sb 0.254 0.254 0.744
Sb 0.448 0.448 0.068
Sb 0.552 0.552 0.932
Sb 0.746 0.746 0.256
Sb 0.867 0.867 0.542
Rh 0.323 0.323 0.602
Rh 0.677 0.677 0.398

Results
Energy (eV/atom): -4.37
ΔE_f (raw) (eV/atom): -0.8373
Calculated volume (Å³ per cell): 434.5

[6]
The following is a DFT calculation (PBE) of a geometry-optimized SrSb3Rh3 structure.

a = 8.722 Å, b = 8.722 Å, c = 8.722 Å
α = 49.12°, β = 49.12°, γ = 49.12°
Fractional positions:
Sr 0.175 0.175 0.175
Sr 0.825 0.825 0.825
Sb 0.137 0.716 0.366
Sb 0.284 0.634 0.863
Sb 0.366 0.137 0.716
Sb 0.634 0.863 0.284
Sb 0.716 0.366 0.137
Sb 0.863 0.284 0.634
Rh 0.024 0.576 0.278
Rh 0.278 0.024 0.576
Rh 0.424 0.722 0.976
Rh 0.576 0.278 0.024
Rh 0.722 0.976 0.424
Rh 0.976 0.424 0.722

Results
Energy (eV/atom): -5.62
Relative energy among the computed polymorphs (eV per formula unit): 0.00
ΔE_f (raw) (eV/atom): -0.4624
Calculated volume (Å³ per cell): 348.4